(1)
DFT (PBE) results for a relaxed Cs3RbCd2Cl9 crystal.

Structure (POSCAR):
```
Cs3RbCd2Cl9
1.0
7.483 0.000 0.000
-3.741 6.480 0.000
0.000 0.000 11.016
Cs Rb Cd Cl
3 1 2 9
Direct
0.333 0.667 0.739
0.000 0.000 0.000
0.667 0.333 0.261
0.000 0.000 0.500
0.333 0.667 0.150
0.667 0.333 0.850
0.832 0.168 0.718
0.832 0.664 0.718
0.336 0.168 0.718
0.664 0.832 0.282
0.168 0.336 0.282
0.168 0.832 0.282
0.500 0.000 0.000
0.000 0.500 0.000
0.500 0.500 0.000
```

Output
Calculated density   3.20 g/cm3
Energy relative to the elements, uncorrected   -1.45 eV per atom
Calculated volume   35.6 Å³ per atom


(2)
DFT (PBE) results for a relaxed Cs3RbCd2Cl8 crystal.

Structure (POSCAR):
```
Cs3RbCd2Cl8
1.0
-4.055 5.857 -3.827
-4.030 -5.945 3.717
-0.172 5.376 8.412
Cs Rb Cd Cl
3 1 2 8
Direct
0.333 0.667 0.614
0.667 0.333 0.386
0.000 0.000 0.000
0.000 0.000 0.500
0.333 0.667 0.189
0.667 0.333 0.811
0.333 0.667 0.946
0.667 0.333 0.054
0.173 0.827 0.300
0.827 0.173 0.700
0.173 0.346 0.300
0.827 0.654 0.700
0.654 0.827 0.300
0.346 0.173 0.700
```

Output
Calculated density   2.91 g/cm3
Energy relative to the elements, uncorrected   -1.60 eV per atom
Calculated volume   40.4 Å³ per atom


(3)
DFT (PBE) results for a relaxed Cs2RbCd2Cl7 crystal.

Structure (POSCAR):
```
Cs2RbCd2Cl7
1.0
-2.567 -1.909 -4.264
-3.255 -2.760 3.195
-11.557 8.351 -0.113
Cs Rb Cd Cl
2 1 2 7
Direct
0.820 0.820 0.361
0.180 0.180 0.639
0.000 0.000 0.000
0.597 0.597 0.807
0.403 0.403 0.193
0.500 0.500 0.000
0.309 0.309 0.382
0.691 0.691 0.618
0.908 0.408 0.184
0.408 0.908 0.184
0.592 0.092 0.816
0.092 0.592 0.816
```

Output
Calculated density   3.50 g/cm3
Energy relative to the elements, uncorrected   -1.56 eV per atom
Calculated volume   32.6 Å³ per atom


(4)
DFT (PBE) results for a relaxed CsRbCdCl4 crystal.

Structure (POSCAR):
```
CsRbCdCl4
1.0
5.340 0.000 0.000
0.000 5.340 0.000
-2.670 -2.670 8.361
Cs Rb Cd Cl
1 1 1 4
Direct
0.642 0.642 0.284
0.362 0.362 0.723
0.000 0.000 0.000
0.997 0.497 0.994
0.497 0.997 0.994
0.845 0.845 0.690
0.157 0.157 0.313
```

Output
Calculated density   3.29 g/cm3
Energy relative to the elements, uncorrected   -1.62 eV per atom
Calculated volume   34.1 Å³ per atom


(5)
DFT (PBE) results for a relaxed CsRbCd2Cl6 crystal.

Structure (POSCAR):
```
CsRbCd2Cl6
1.0
-4.248 -0.586 5.856
-7.536 -5.194 -5.069
4.368 -8.956 3.189
Cs Rb Cd Cl
2 2 4 12
Direct
0.250 0.899 0.101
0.750 0.101 0.899
0.250 0.304 0.696
0.750 0.696 0.304
0.227 0.800 0.625
0.273 0.375 0.200
0.773 0.200 0.375
0.727 0.625 0.800
0.198 0.982 0.781
0.302 0.219 0.018
0.802 0.018 0.219
0.698 0.781 0.982
0.355 0.842 0.410
0.145 0.590 0.158
0.645 0.158 0.590
0.855 0.410 0.842
0.905 0.714 0.604
0.595 0.396 0.286
0.095 0.286 0.396
0.405 0.604 0.714
```

Output
Calculated density   2.76 g/cm3
Energy relative to the elements, uncorrected   -1.45 eV per atom
Calculated volume   39.5 Å³ per atom


(6)
DFT (PBE) results for a relaxed CsRb2Cd2Cl7 crystal.

Structure (POSCAR):
```
CsRb2Cd2Cl7
1.0
-1.183 4.579 -2.442
-1.603 -2.704 -4.294
-13.840 0.384 1.629
Cs Rb Cd Cl
1 2 2 7
Direct
0.000 0.000 0.000
0.819 0.819 0.362
0.181 0.181 0.638
0.600 0.600 0.799
0.400 0.400 0.201
0.500 0.500 0.000
0.304 0.304 0.393
0.696 0.696 0.607
0.902 0.402 0.195
0.402 0.902 0.195
0.598 0.098 0.805
0.098 0.598 0.805
```

Output
Calculated density   3.39 g/cm3
Energy relative to the elements, uncorrected   -1.55 eV per atom
Calculated volume   31.7 Å³ per atom


(7)
DFT (PBE) results for a relaxed Cs2CdReCl6 crystal.

Structure (POSCAR):
```
Cs2CdReCl6
1.0
7.944 0.000 0.000
0.000 7.944 0.000
3.972 3.972 5.617
Cs Re Cl Cd
2 1 6 1
Direct
0.750 0.250 0.500
0.250 0.750 0.500
0.000 0.000 0.000
0.213 0.213 0.574
0.787 0.787 0.426
0.213 0.213 0.000
0.787 0.787 0.000
0.787 0.213 0.000
0.213 0.787 0.000
0.500 0.500 0.000
```

Output
Calculated density   3.64 g/cm3
Energy relative to the elements, uncorrected   -1.10 eV per atom
Calculated volume   35.4 Å³ per atom


(8)
DFT (PBE) results for a relaxed CsCdRhCl6 crystal.

Structure (POSCAR):
```
CsCdRhCl6
1.0
-5.602 2.888 -2.050
-4.597 -3.566 -3.171
-3.345 -1.694 6.766
Cs Cd Rh Cl
1 1 1 6
Direct
0.000 0.000 0.000
0.667 0.667 0.500
0.333 0.333 0.500
0.034 0.350 0.678
0.349 0.034 0.322
0.616 0.349 0.322
0.035 0.616 0.322
0.349 0.616 0.678
0.616 0.035 0.678
```

Output
Calculated density   3.17 g/cm3
Energy relative to the elements, uncorrected   -1.10 eV per atom
Calculated volume   32.7 Å³ per atom


(9)
DFT (PBE) results for a relaxed CsCdRuCl2 crystal.

Structure (POSCAR):
```
CsCdRuCl2
1.0
-2.583 0.096 -4.304
4.803 -1.719 -2.920
-1.306 -4.800 0.677
Cs Ru Cl Cd
1 1 2 1
Direct
0.000 0.500 0.000
0.000 0.000 0.000
0.000 0.000 0.500
0.500 0.000 0.000
0.500 0.500 0.500
```

Output
Calculated density   4.68 g/cm3
Energy relative to the elements, uncorrected   -0.01 eV per atom
Calculated volume   29.6 Å³ per atom


(10)
DFT (PBE) results for a relaxed CsCdSCl2 crystal.

Structure (POSCAR):
```
CsCdSCl2
1.0
-0.535 -0.854 6.246
-1.926 -5.946 -0.978
5.366 -1.774 0.217
Cs S Cl Cd
1 1 2 1
Direct
0.000 0.000 0.000
0.000 0.000 0.500
0.000 0.500 0.000
0.500 0.000 0.000
0.500 0.500 0.500
```

Output
Excess energy over the best structure of this formula in the dataset   1104 meV/atom
Calculated density   2.55 g/cm3
Energy relative to the elements, uncorrected   0.17 eV per atom
Calculated volume   45.3 Å³ per atom


(11)
DFT (PBE) results for a relaxed Cs2CdSCl6 crystal.

Structure (POSCAR):
```
Cs2CdSCl6
1.0
7.364 0.000 0.000
0.000 7.364 0.000
3.682 3.682 5.918
Cs S Cl Cd
2 1 6 1
Direct
0.750 0.250 0.500
0.250 0.750 0.500
0.500 0.500 0.000
0.205 0.205 0.591
0.795 0.795 0.409
0.273 0.273 0.000
0.727 0.727 0.000
0.727 0.273 0.000
0.273 0.727 0.000
0.000 0.000 0.000
```

Output
Calculated density   3.22 g/cm3
Energy relative to the elements, uncorrected   -1.12 eV per atom
Calculated volume   32.1 Å³ per atom


(12)
DFT (PBE) results for a relaxed CsCdSCl2 crystal.

Structure (POSCAR):
```
CsCdSCl2
1.0
5.479 0.000 0.000
0.000 5.479 0.000
0.000 0.000 5.119
Cs S Cl Cd
1 1 2 1
Direct
0.500 0.500 0.500
0.000 0.000 0.500
0.000 0.500 0.000
0.500 0.000 0.000
0.000 0.000 0.000
```

Output
Excess energy over the best structure of this formula in the dataset   0 meV/atom
Calculated density   3.76 g/cm3
Energy relative to the elements, uncorrected   -0.94 eV per atom
Calculated volume   30.7 Å³ per atom


(13)
DFT (PBE) results for a relaxed CsCdS2Cl crystal.

Structure (POSCAR):
```
CsCdS2Cl
1.0
-0.723 -0.161 -5.410
5.340 -0.906 -0.687
-1.006 -6.169 0.318
Cs S Cl Cd
1 2 1 1
Direct
0.000 0.000 0.000
0.000 0.500 0.000
0.500 0.000 0.000
0.000 0.000 0.500
0.500 0.500 0.500
```

Output
Excess energy over the best structure of this formula in the dataset   1112 meV/atom
Calculated density   3.07 g/cm3
Energy relative to the elements, uncorrected   0.64 eV per atom
Calculated volume   37.3 Å³ per atom


(14)
DFT (PBE) results for a relaxed CsCdS2Cl crystal.

Structure (POSCAR):
```
CsCdS2Cl
1.0
-2.476 1.644 -4.138
0.311 -4.659 -2.038
-5.054 -1.415 2.462
Cs S Cl Cd
1 2 1 1
Direct
0.500 0.500 0.500
0.000 0.500 0.000
0.500 0.000 0.000
0.000 0.000 0.500
0.000 0.000 0.000
```

Output
Excess energy over the best structure of this formula in the dataset   0 meV/atom
Calculated density   3.81 g/cm3
Energy relative to the elements, uncorrected   -0.47 eV per atom
Calculated volume   30.1 Å³ per atom


(15)
DFT (PBE) results for a relaxed CsCdSbCl6 crystal.

Structure (POSCAR):
```
CsCdSbCl6
1.0
7.015 0.000 0.000
3.508 6.075 0.000
0.000 0.000 7.756
Cs Cd Sb Cl
1 1 1 6
Direct
0.000 0.000 0.000
0.333 0.333 0.500
0.667 0.667 0.500
0.001 0.377 0.302
0.377 0.001 0.698
0.621 0.377 0.698
0.001 0.622 0.698
0.377 0.622 0.302
0.621 0.001 0.302
```

Output
Calculated density   2.91 g/cm3
Energy relative to the elements, uncorrected   -1.23 eV per atom
Calculated volume   36.7 Å³ per atom


(16)
DFT (PBE) results for a relaxed CsScCdCl6 crystal.

Structure (POSCAR):
```
CsScCdCl6
1.0
-1.206 6.378 -2.075
-4.137 1.136 -5.295
-6.022 0.421 4.796
Cs Sc Cd Cl
1 1 1 6
Direct
0.000 0.000 0.000
0.333 0.333 0.500
0.667 0.667 0.500
0.017 0.371 0.309
0.371 0.017 0.691
0.612 0.371 0.691
0.017 0.612 0.691
0.371 0.612 0.309
0.612 0.017 0.309
```

Output
Calculated density   2.69 g/cm3
Energy relative to the elements, uncorrected   -1.78 eV per atom
Calculated volume   34.4 Å³ per atom


(17)
DFT (PBE) results for a relaxed Cs2ScCdCl6 crystal.

Structure (POSCAR):
```
Cs2ScCdCl6
1.0
-0.159 -3.360 -6.917
6.374 -3.921 1.757
-6.070 -8.052 4.051
Cs Sc Cd Cl
4 2 2 12
Direct
0.500 0.750 0.250
0.000 0.250 0.750
0.500 0.750 0.750
0.000 0.250 0.250
0.500 0.250 0.500
0.000 0.750 0.000
0.000 0.750 0.500
0.500 0.250 0.000
0.500 0.250 0.268
0.500 0.250 0.732
0.000 0.750 0.232
0.000 0.750 0.768
0.268 0.018 0.500
0.732 0.018 0.500
0.269 0.482 0.500
0.731 0.482 0.500
0.769 0.518 0.000
0.231 0.518 0.000
0.232 0.982 0.000
0.768 0.982 0.000
```

Output
Calculated density   3.29 g/cm3
Energy relative to the elements, uncorrected   -1.76 eV per atom
Calculated volume   32.1 Å³ per atom


(18)
DFT (PBE) results for a relaxed Cs2CdSeCl6 crystal.

Structure (POSCAR):
```
Cs2CdSeCl6
1.0
7.489 0.000 0.000
0.000 7.489 0.000
3.744 3.744 5.953
Cs Cl Se Cd
2 6 1 1
Direct
0.750 0.250 0.500
0.250 0.750 0.500
0.204 0.204 0.592
0.796 0.796 0.408
0.268 0.268 0.000
0.732 0.732 0.000
0.732 0.268 0.000
0.268 0.732 0.000
0.500 0.500 0.000
0.000 0.000 0.000
```

Output
Calculated density   3.33 g/cm3
Energy relative to the elements, uncorrected   -1.19 eV per atom
Calculated volume   33.4 Å³ per atom


(19)
DFT (PBE) results for a relaxed Cs2CdSeCl crystal.

Structure (POSCAR):
```
Cs2CdSeCl
1.0
-1.530 5.596 -3.926
-0.743 -3.167 -4.226
-6.766 -0.665 1.688
Cs Cl Se Cd
2 1 1 1
Direct
0.000 0.000 0.500
0.500 0.000 0.000
0.500 0.500 0.500
0.000 0.000 0.000
0.000 0.500 0.000
```

Output
Calculated density   3.13 g/cm3
Energy relative to the elements, uncorrected   -1.02 eV per atom
Calculated volume   52.3 Å³ per atom


(20)
DFT (PBE) results for a relaxed Cs2CdSiCl6 crystal.

Structure (POSCAR):
```
Cs2CdSiCl6
1.0
-4.351 5.409 2.776
-4.231 -0.243 -6.159
-7.380 -1.064 0.574
Cs Si Cl Cd
2 1 6 1
Direct
0.750 0.250 0.500
0.250 0.750 0.500
0.500 0.500 0.000
0.254 0.254 0.492
0.746 0.746 0.508
0.254 0.254 0.000
0.746 0.746 0.000
0.746 0.254 0.000
0.254 0.746 0.000
0.000 0.000 0.000
```

Output
Calculated density   3.48 g/cm3
Energy relative to the elements, uncorrected   -1.32 eV per atom
Calculated volume   29.6 Å³ per atom